SrCd2FeAu | PBE-GGA | relaxed

The structure belongs to space group P4/mmm (No. 123); the cell edges are 5.2670, 5.2670 and 5.0351 Å and the angles 90.00°, 90.00° and 90.00°. The inequivalent atoms are Sr at (0.0000, 0.0000, 0.0000), Cd at (0.0000, 0.5000, 0.5000), Fe at (0.5000, 0.5000, 0.0000) and Au at (0.5000, 0.5000, 0.5000).

The mass density comes out at 6.7 g cm⁻³. As for the magnetic moment: 3.08 Bohr magnetons per cell. For the density of states at the Fermi level, the calculation gives 0.891 states/eV per atom. Its formation energy is 0.2191 eV per atom.